1.
An optimized crystal structure of Ca3Tl4In4, computed with GGA-PBE.

Computed properties:
The calculation puts the final energy at -0.1905 Ry per atom. For the energy relative to the elements, the calculation gives -0.190 eV/atom. The value obtained for the total magnetization is 0.00 μB per formula unit.

abc: 4.576 8.085 17.814
angles: 90.00 90.00 90.00
Space group Immm (No. 71)
Symmetry-distinct sites (fractional):
Ca1 0.000 0.000 0.000
Ca2 0.000 0.500 0.117
Tl1 0.000 0.000 0.235
Tl2 0.000 0.192 0.500
In1 0.000 0.308 0.341

***

2.
An optimized crystal structure of Pm5Y2Ho2, computed with GGA-PBE.

Computed properties:
The calculation puts the final energy at -0.3585 Ry per atom. For the energy relative to the elements, the calculation gives 0.215 eV/atom. The value obtained for the total magnetization is 0.00 μB per formula unit.

abc: 14.981 11.951 6.746
angles: 90.00 90.00 90.00
Space group Ima2 (No. 46)
Symmetry-distinct sites (fractional):
Pm1 0.049 0.231 0.000
Pm2 0.145 0.725 0.326
Pm3 0.250 0.231 0.314
Y1 0.129 0.511 0.671
Ho1 0.000 0.000 0.654
Ho2 0.250 0.003 0.632

***

3.
An optimized crystal structure of Cs2AuSI6, computed with GGA-PBE.

Computed properties:
Its uncorrected formation energy is -5.92 eV/f.u. The calculation puts the final energy at -0.1788 Ry per atom. The value obtained for the total magnetization is 0.00 μB per formula unit.

abc: 8.187 8.187 12.216
angles: 90.00 90.00 90.00
Space group I4/mmm (No. 139)
Symmetry-distinct sites (fractional):
Cs1 0.000 0.500 0.250
Au1 0.000 0.000 0.000
S1 0.000 0.000 0.500
I1 0.000 0.000 0.221
I2 0.239 0.239 0.500

***

4.
An optimized crystal structure of InRh2Pb, computed with GGA-PBE.

Computed properties:
The calculation puts the final energy at -0.3916 Ry per atom. For the energy relative to the elements, the calculation gives -0.040 eV/atom. The value obtained for the total magnetization is 0.00 μB per formula unit.

abc: 3.3126 3.3126 24.1341
angles: 90.00 90.00 120.00
Space group R-3m (No. 166, hexagonal axes)
Symmetry-distinct sites (fractional):
In1 0.0000 0.0000 0.0000
Rh1 0.0000 0.0000 0.2512
Pb1 0.0000 0.0000 0.5000

***

5.
An optimized crystal structure of K2CdMo, computed with GGA-PBE.

Computed properties:
The calculation puts the final energy at -0.1883 Ry per atom. For the energy relative to the elements, the calculation gives 0.924 eV/atom. The value obtained for the total magnetization is 1.27 μB per formula unit.

abc: 3.149 3.149 11.943
angles: 90.00 90.00 90.00
Space group P4mm (No. 99)
Symmetry-distinct sites (fractional):
K1 0.000 0.000 0.000
K2 0.500 0.500 0.356
Cd1 0.500 0.500 0.757
Mo1 0.000 0.000 0.595

***

6.
An optimized crystal structure of Ti2ZnAgN, computed with GGA-PBE.

Computed properties:
Its uncorrected formation energy is -2.22 eV/f.u. The calculation puts the final energy at -0.4478 Ry per atom. The value obtained for the total magnetization is 0.00 μB per formula unit.

abc: 4.075 4.075 4.320
angles: 90.00 90.00 90.00
Space group P4/mmm (No. 123)
Symmetry-distinct sites (fractional):
Ti1 0.000 0.500 0.000
Zn1 0.000 0.000 0.500
Ag1 0.500 0.500 0.500
N1 0.000 0.000 0.000

***

Q: The lowest final energy belongs to which entry?
A: Ti2ZnAgN

***

What did the fourth record say?
An optimized crystal structure of InRh2Pb, computed with GGA-PBE.

Computed properties:
The calculation puts the final energy at -0.3916 Ry per atom. For the energy relative to the elements, the calculation gives -0.040 eV/atom. The value obtained for the total magnetization is 0.00 μB per formula unit.

abc: 3.3126 3.3126 24.1341
angles: 90.00 90.00 120.00
Space group R-3m (No. 166, hexagonal axes)
Symmetry-distinct sites (fractional):
In1 0.0000 0.0000 0.0000
Rh1 0.0000 0.0000 0.2512
Pb1 0.0000 0.0000 0.5000